Record 1
PaMn2Hg3Te6 (GGA-PBE, relaxed); spin magnetization = 7.064 μB per cell; SG = C2/m; DFT total energy = -51.088 eV per cell
1.0
-4.145 -4.766 -2.519
6.676 -1.194 0.499
-2.200 -1.619 9.801
Te Pa Hg Mn
6 1 3 2
Direct
0.422 0.058 0.172
0.942 0.578 0.828
0.306 0.306 0.828
0.694 0.694 0.172
0.058 0.422 0.172
0.578 0.942 0.828
0.000 0.000 0.000
0.854 0.146 0.500
0.146 0.854 0.500
0.500 0.500 0.500
0.333 0.667 0.000
0.667 0.333 0.000

***

Record 2
Pu3Al4Si4 (GGA-PBE, relaxed); spin magnetization = 16.533 μB per cell; SG = Immm; DFT total energy = -83.261 eV per cell
1.0
0.115 -3.148 -2.413
1.167 -4.668 6.147
-7.238 3.150 -1.191
Al Pu Si
4 3 4
Direct
0.323 0.515 0.645
0.323 0.130 0.645
0.677 0.870 0.355
0.677 0.485 0.355
0.110 0.110 0.219
0.890 0.890 0.781
0.000 0.500 0.000
0.230 0.730 0.460
0.500 0.783 0.000
0.770 0.270 0.540
0.500 0.217 0.000

***

Record 3
Tb2YTm3As6 (GGA-PBE, relaxed); energy of formation = -1.525 eV per atom; spin magnetization = 0.000 μB per cell; SG = C2/m; DFT total energy = -75.335 eV per cell
1.0
4.099 0.000 0.000
0.000 8.189 0.296
-2.050 -2.356 8.614
As Y Tb Tm
6 1 2 3
Direct
0.666 0.586 0.331
0.999 0.252 0.998
0.668 0.080 0.335
0.334 0.414 0.669
0.001 0.748 0.002
0.332 0.920 0.665
0.500 0.000 0.000
0.833 0.667 0.667
0.167 0.333 0.333
0.500 0.500 0.000
0.833 0.167 0.667
0.167 0.833 0.333

***

Record 4
Al2FeRh (GGA-PBE, relaxed); energy of formation = 0.251 eV per atom; spin magnetization = 3.187 μB per cell; SG = Immm; DFT total energy = -22.294 eV per cell
1.0
10.048 0.000 0.000
5.024 2.630 0.411
5.024 0.856 2.521
Al Rh Fe
2 1 1
Direct
0.740 0.000 0.000
0.260 0.000 0.000
0.500 0.000 0.000
0.000 0.000 0.000